1.
Computed, not measured: a PBEsol-optimized structure of ZrZn2Pt at the meta-GGA SCAN level of DFT.

Cell and atoms, written as CIF:
```
data_ZrZn2Pt
_cell_length_a 3.8679
_cell_length_b 3.8679
_cell_length_c 4.3158
_cell_angle_alpha 90.00
_cell_angle_beta 90.00
_cell_angle_gamma 90.00
_symmetry_space_group_name_H-M 'P 4/m m m'
_symmetry_Int_Tables_number 123
_symmetry_space_group_name_Hall '-P 4 2'
loop_
_atom_site_label
_atom_site_fract_x
_atom_site_fract_y
_atom_site_fract_z
Zr1 0.0000 0.0000 0.0000
Zn1 0.0000 0.5000 0.5000
Pt1 0.5000 0.5000 0.0000
```

Fermi-level density of states	1.89	states/eV per cell
magnetic moment	0.0	μB per formula unit
DFT formation energy	-606	meV per atom
final energy	-32.59	eV per atom

***

2.
Computed, not measured: a PBEsol-optimized structure of ReTc at the meta-GGA SCAN level of DFT.

Cell and atoms, written as CIF:
```
data_ReTc
_cell_length_a 2.7313
_cell_length_b 2.7313
_cell_length_c 26.6591
_cell_angle_alpha 90.00
_cell_angle_beta 90.00
_cell_angle_gamma 120.00
_symmetry_space_group_name_H-M 'R -3 m'
_symmetry_Int_Tables_number 166
_symmetry_space_group_name_Hall '-R 3 2"'
loop_
_atom_site_label
_atom_site_fract_x
_atom_site_fract_y
_atom_site_fract_z
Re1 0.0000 0.0000 0.1243
Tc1 0.0000 0.0000 0.3746
```

Fermi-level density of states	9.81	states/eV per cell
magnetic moment	0.0	μB per formula unit
DFT formation energy	51	meV per atom
final energy	-53.03	eV per atom
energy above the lowest structure with this stoichiometry	64	meV/atom

***

3.
Computed, not measured: a PBEsol-optimized structure of BePt2 at the meta-GGA SCAN level of DFT.

Cell and atoms, written as CIF:
```
data_BePt2
_cell_length_a 2.7177
_cell_length_b 2.7177
_cell_length_c 6.0653
_cell_angle_alpha 90.00
_cell_angle_beta 90.00
_cell_angle_gamma 120.00
_symmetry_space_group_name_H-M 'P -3 m 1'
_symmetry_Int_Tables_number 164
_symmetry_space_group_name_Hall '-P 3 2"'
loop_
_atom_site_label
_atom_site_fract_x
_atom_site_fract_y
_atom_site_fract_z
Be1 0.0000 0.0000 0.0000
Pt1 0.3333 0.6667 0.2924
```

Fermi-level density of states	0.88	states/eV per cell
magnetic moment	0.0	μB per formula unit
DFT formation energy	-607	meV per atom
final energy	-48.85	eV per atom

***

4.
Computed, not measured: a PBEsol-optimized structure of AlPbW2 at the meta-GGA SCAN level of DFT.

Cell and atoms, written as CIF:
```
data_AlPbW2
_cell_length_a 2.8708
_cell_length_b 4.4275
_cell_length_c 5.7169
_cell_angle_alpha 90.00
_cell_angle_beta 97.92
_cell_angle_gamma 90.00
_symmetry_space_group_name_H-M 'P 1 2/m 1'
_symmetry_Int_Tables_number 10
loop_
_symmetry_equiv_pos_as_xyz
'x,y,z'
'-x,-y,-z'
'-x,y,-z'
'x,-y,z'
loop_
_atom_site_label
_atom_site_fract_x
_atom_site_fract_y
_atom_site_fract_z
Al1 0.0000 0.0000 0.0000
Pb1 0.5000 0.0000 0.5000
W1 0.3048 0.5000 0.7918
```

Fermi-level density of states	2.34	states/eV per cell
magnetic moment	0.0	μB per formula unit
DFT formation energy	692	meV per atom
final energy	-55.04	eV per atom
energy above the lowest structure with this stoichiometry	99	meV/atom